VASP calculation (PBE-GGA) on an optimized crystal structure of Tl3InBi3.

Lattice parameters (Å, degrees): 5.3107 6.5054 15.9501 67.21 80.42 65.91
Last column: nearest neighbours and their distance in Å.
Atoms (fractional coordinates):
Bi: 0.0511 0.1381 0.7596  1 In 3.14, 2 Bi 3.24-3.39, 4 Tl 3.51-3.52
Tl: 0.2621 0.2874 0.1884  7 Bi 3.56-3.78, 4 Tl 3.67-3.75, 2 In 3.93
In: 0.2500 0.8852 0.6148  4 Bi 3.10-3.27, 2 Tl 3.40
Bi: 0.8788 0.6636 0.5789  3 In 3.10-3.27, 1 Bi 3.39
Tl: 0.7379 0.7126 0.8116  7 Bi 3.56-3.78, 4 Tl 3.67-3.75, 2 In 3.93
Bi: 0.8704 0.2286 0.0306  2 Bi 3.19-3.24, 2 Tl 3.46
In: 0.7500 0.1148 0.3852  4 Bi 3.10-3.27, 2 Tl 3.40
Tl: 0.5723 0.2510 0.6044  2 In 3.40, 5 Bi 3.51-3.65, 2 Tl 3.55-3.67
Tl: 0.5661 0.7550 0.1129  7 Bi 3.46-3.78, 4 Tl 3.71-3.75
Bi: 0.1296 0.7714 0.9694  2 Bi 3.19-3.24, 2 Tl 3.46
Bi: 0.1212 0.3364 0.4211  3 In 3.10-3.27, 1 Bi 3.39
Tl: 0.4277 0.7490 0.3956  2 In 3.40, 5 Bi 3.51-3.65, 2 Tl 3.55-3.67
Tl: 0.4340 0.2450 0.8871  7 Bi 3.46-3.78, 4 Tl 3.71-3.75
Bi: 0.9489 0.8619 0.2404  1 In 3.14, 2 Bi 3.24-3.39, 4 Tl 3.51-3.52

Calculated values
energy of formation = 0.47 kJ/mol of atoms
size of the total moment = 0.00 μB/f.u.
uncorrected energy = -3.06 eV per atom
polymorph energy (0 for the lowest one) = 0 kJ/mol of formula units